The following is a PBE calculation of AlMoRu2 after structural relaxation, from Alexandria via LeMat-Bulk.

Properties
Its formation energy is -24 meV per atom. The calculation puts the density of states at the Fermi level at 11.88 states/eV per cell.

a = 2.7816 Å, b = 2.7816 Å, c = 26.2250 Å
α = 90.00°, β = 90.00°, γ = 120.00°
Fractional positions:
Al 0.0000 0.0000 0.0000
Al 0.3333 0.6667 0.6667
Al 0.6667 0.3333 0.3333
Mo 0.0000 0.0000 0.2458
Mo 0.3333 0.6667 0.9124
Mo 0.6667 0.3333 0.5791
Ru 0.0000 0.0000 0.4962
Ru 0.0000 0.0000 0.7467
Ru 0.3333 0.6667 0.1628
Ru 0.3333 0.6667 0.4134
Ru 0.6667 0.3333 0.0800
Ru 0.6667 0.3333 0.8295


The following is a PBE calculation of AlMo2Ru after structural relaxation, from Alexandria via LeMat-Bulk.

Properties
Its formation energy is -93 meV per atom. The calculation puts the density of states at the Fermi level at 7.02 states/eV per cell.

a = 5.1606 Å, b = 8.6843 Å, c = 2.7654 Å
α = 90.00°, β = 104.36°, γ = 90.00°
Fractional positions:
Al 0.0000 0.0000 0.0000
Al 0.5000 0.5000 0.0000
Mo 0.2500 0.2500 0.5000
Mo 0.2500 0.7500 0.5000
Mo 0.7500 0.2500 0.5000
Mo 0.7500 0.7500 0.5000
Ru 0.0000 0.5000 0.0000
Ru 0.5000 0.0000 0.0000